[1]
# TaBe2Ir2 | the Alexandria database | PBE-GGA | relaxed
data_TaBe2Ir2
_symmetry_space_group_name_H-M 'P 4/m b m'
_symmetry_Int_Tables_number 127
_symmetry_space_group_name_Hall '-P 4 2ab'
_cell_length_a 6.829
_cell_length_b 6.829
_cell_length_c 2.830
_cell_angle_alpha 90.00
_cell_angle_beta 90.00
_cell_angle_gamma 90.00
loop_
_atom_site_label
_atom_site_type_symbol
_atom_site_fract_x
_atom_site_fract_y
_atom_site_fract_z
Ta1 Ta 0.000 0.000 0.000
Be1 Be 0.151 0.349 0.500
Ir1 Ir 0.144 0.644 0.000
# DFT formation energy (eV/atom): -0.34
# Total DFT energy (no corrections) (eV per atom): -7.746

=====

[2]
# TaBeIr2 | the Alexandria database | PBE-GGA | relaxed
data_TaBeIr2
_symmetry_space_group_name_H-M 'I 4/m m m'
_symmetry_Int_Tables_number 139
_symmetry_space_group_name_Hall '-I 4 2'
_cell_length_a 4.061
_cell_length_b 4.061
_cell_length_c 6.930
_cell_angle_alpha 90.00
_cell_angle_beta 90.00
_cell_angle_gamma 90.00
loop_
_atom_site_label
_atom_site_type_symbol
_atom_site_fract_x
_atom_site_fract_y
_atom_site_fract_z
Ta1 Ta 0.000 0.000 0.000
Be1 Be 0.000 0.000 0.500
Ir1 Ir 0.000 0.500 0.250
# DFT formation energy (eV/atom): -0.57
# Total DFT energy (no corrections) (eV per atom): -8.896

=====

[3]
# TaBe2Ir3 | the Alexandria database | PBE-GGA | relaxed
data_TaBe2Ir3
_symmetry_space_group_name_H-M 'P 4/m m m'
_symmetry_Int_Tables_number 123
_symmetry_space_group_name_Hall '-P 4 2'
_cell_length_a 2.883
_cell_length_b 2.883
_cell_length_c 9.284
_cell_angle_alpha 90.00
_cell_angle_beta 90.00
_cell_angle_gamma 90.00
loop_
_atom_site_label
_atom_site_type_symbol
_atom_site_fract_x
_atom_site_fract_y
_atom_site_fract_z
Ta1 Ta 0.000 0.000 0.000
Be1 Be 0.000 0.000 0.356
Ir1 Ir 0.500 0.500 0.199
Ir2 Ir 0.500 0.500 0.500
# DFT formation energy (eV/atom): -0.58
# Total DFT energy (no corrections) (eV per atom): -8.223

=====

[4]
# Ta4BeIr | the Alexandria database | PBE-GGA | relaxed
data_Ta4BeIr
_symmetry_space_group_name_H-M 'P 4/m c c'
_symmetry_Int_Tables_number 124
_symmetry_space_group_name_Hall '-P 4 2c'
_cell_length_a 6.169
_cell_length_b 6.169
_cell_length_c 5.153
_cell_angle_alpha 90.00
_cell_angle_beta 90.00
_cell_angle_gamma 90.00
loop_
_atom_site_label
_atom_site_type_symbol
_atom_site_fract_x
_atom_site_fract_y
_atom_site_fract_z
Ta1 Ta 0.148 0.328 0.000
Be1 Be 0.000 0.000 0.250
Ir1 Ir 0.500 0.500 0.250
# DFT formation energy (eV/atom): -0.25
# Total DFT energy (no corrections) (eV per atom): -10.248

=====

[5]
# Ta4BeIr | the Alexandria database | PBE-GGA | relaxed
data_Ta4BeIr
_symmetry_space_group_name_H-M 'F -4 3 m'
_symmetry_Int_Tables_number 216
_symmetry_space_group_name_Hall 'F -4 2 3'
_cell_length_a 7.504
_cell_length_b 7.504
_cell_length_c 7.504
_cell_angle_alpha 90.00
_cell_angle_beta 90.00
_cell_angle_gamma 90.00
loop_
_atom_site_label
_atom_site_type_symbol
_atom_site_fract_x
_atom_site_fract_y
_atom_site_fract_z
Ta1 Ta 0.124 0.124 0.124
Be1 Be 0.250 0.250 0.750
Ir1 Ir 0.000 0.000 0.500
# DFT formation energy (eV/atom): 0.52
# Total DFT energy (no corrections) (eV per atom): -9.478

=====

[6]
# TaBeIr2 | the Alexandria database | PBE-GGA | relaxed
data_TaBeIr2
_symmetry_space_group_name_H-M 'C m m m'
_symmetry_Int_Tables_number 65
_symmetry_space_group_name_Hall '-C 2 2'
_cell_length_a 5.774
_cell_length_b 6.746
_cell_length_c 2.960
_cell_angle_alpha 90.00
_cell_angle_beta 90.00
_cell_angle_gamma 90.00
loop_
_atom_site_label
_atom_site_type_symbol
_atom_site_fract_x
_atom_site_fract_y
_atom_site_fract_z
Ta1 Ta 0.000 0.000 0.000
Be1 Be 0.000 0.500 0.000
Ir1 Ir 0.250 0.250 0.500
# DFT formation energy (eV/atom): -0.38
# Total DFT energy (no corrections) (eV per atom): -8.707